Below is a relaxed structure of Tb3Zn8Pt, with properties calculated at the GGA-PBE level.

```
Tb3Zn8Pt
1.0
-4.266 3.060 -0.644
-2.896 1.417 4.193
2.692 8.792 2.224
Tb Zn Pt
3 8 1
Direct
0.377 0.377 0.868
0.505 0.505 0.486
0.991 0.991 0.028
0.440 0.938 0.683
0.938 0.440 0.683
0.938 0.938 0.683
0.435 0.435 0.194
0.188 0.188 0.437
0.435 0.936 0.194
0.936 0.435 0.194
0.686 0.686 0.942
0.881 0.881 0.357
```

* symmetry: No. 160
* energy of formation: -379 meV/atom

***

Below is a relaxed structure of Tb7Zn2Pt2, with properties calculated at the GGA-PBE level.

```
Tb7Zn2Pt2
1.0
6.671 -0.003 -0.841
0.003 7.121 0.003
-1.255 -0.002 6.605
Tb Zn Pt
7 2 2
Direct
0.000 0.000 0.000
0.500 0.737 0.000
0.500 0.258 0.500
0.000 0.263 0.500
0.000 0.737 0.500
0.500 0.263 0.000
0.500 0.742 0.500
0.832 0.500 0.832
0.168 0.500 0.168
0.289 0.000 0.711
0.711 0.000 0.289
```

* symmetry: No. 65
* energy of formation: -444 meV/atom